# Pr2CdS

A geometry-optimized Pr2CdS structure (PBE, Alexandria).

Calculated values
Raw formation energy ... -1.0445 eV per atom
Volume ... 28.7 Å³ per atom
Relative energy among the computed polymorphs ... 0.051 eV/atom
Crystal system ... trigonal

abc: 4.0366 4.0366 8.4561
angles: 76.19 76.19 60.00
Fractional positions:
1 S 0.6678 0.6678 0.9965
2 Cd 0.4997 0.4997 0.5009
3 Pr 0.2650 0.2650 0.2049
4 Pr 0.0674 0.0674 0.7977